Entry 1:
Entry from Alexandria via LeMat-Bulk: crystalline Sr2MnO2 at its relaxed geometry (PBE+U).

For the volume, the calculation gives 127.4 Å³/f.u. The energy above the most stable polymorph in this dataset comes out at 322 meV/atom.

It has space group I4/mmm (No. 139), with a = 4.573 Å, b = 4.573 Å, c = 12.184 Å, α = 90.00°, β = 90.00° and γ = 90.00°. The inequivalent atoms are Sr at (0.000, 0.000, 0.183), Mn at (0.000, 0.000, 0.500) and O at (0.000, 0.500, 0.250).


Entry 2:
Entry from Alexandria via LeMat-Bulk: crystalline SrMn7O12 at its relaxed geometry (PBE+U).

For the volume, the calculation gives 214.5 Å³/f.u. The electronic total energy comes out at -7.390 eV/atom.

It has space group Im-3 (No. 204), with a = 7.542 Å, b = 7.542 Å, c = 7.542 Å, α = 90.00°, β = 90.00° and γ = 90.00°. The inequivalent atoms are Sr at (0.000, 0.000, 0.000), Mn at (0.000, 0.000, 0.500), Mn at (0.250, 0.250, 0.250) and O at (0.000, 0.180, 0.311).


Entry 3:
Entry from Alexandria via LeMat-Bulk: crystalline SrMnO2 at its relaxed geometry (PBE+U).

For the volume, the calculation gives 70.3 Å³/f.u. The electronic total energy comes out at -6.850 eV/atom.

It has space group I-42d (No. 122), with a = 5.254 Å, b = 5.254 Å, c = 10.182 Å, α = 90.00°, β = 90.00° and γ = 90.00°. The inequivalent atoms are Sr at (0.000, 0.000, 0.000), Mn at (0.000, 0.000, 0.500) and O at (0.200, 0.250, 0.625).


Entry 4:
Entry from Alexandria via LeMat-Bulk: crystalline SrMn3O6 at its relaxed geometry (PBE+U).

For the volume, the calculation gives 127.7 Å³/f.u. The electronic total energy comes out at -7.158 eV/atom.

It has space group Cmc2_1 (No. 36), with a = 7.423 Å, b = 13.773 Å, c = 4.996 Å, α = 90.00°, β = 90.00° and γ = 90.00°. The inequivalent atoms are Sr at (0.000, 0.216, 0.000), Mn at (0.000, 0.410, 0.451), Mn at (0.180, 0.060, 0.559), O at (0.000, 0.034, 0.873), O at (0.000, 0.154, 0.467), O at (0.178, 0.457, 0.720) and O at (0.185, 0.343, 0.250).